(1)
Computed, not measured: a relaxed Pm7PrY3 crystal at the PBE level of DFT.

## Properties
energy relative to the elements	186	meV per atom
space-group type	P3m1
ΔE to the lowest computed polymorph	63.2	meV/atom
DFT total energy	-5.034	eV per atom

abc: 7.219 7.219 8.742
angles: 90.00 90.00 120.00
Sites, in units of the cell vectors:
Pm: 0.000 0.000 0.000
Pm: 0.166 0.332 0.670
Pm: 0.166 0.834 0.670
Pm: 0.501 0.001 0.013
Pm: 0.501 0.499 0.013
Pm: 0.668 0.834 0.670
Pm: 0.999 0.499 0.013
Pr: 0.667 0.333 0.684
Y: 0.333 0.166 0.341
Y: 0.834 0.166 0.341
Y: 0.834 0.667 0.341

---

(2)
Computed, not measured: a relaxed PmPr2Y4 crystal at the PBE level of DFT.

## Properties
energy relative to the elements	41	meV per atom
space-group type	C2/m
ΔE to the lowest computed polymorph	0.0	meV/atom
DFT total energy	-5.697	eV per atom

abc: 8.723 8.723 8.920
angles: 119.27 119.27 23.74
Sites, in units of the cell vectors:
Pm: 0.000 0.000 0.000
Pr: 0.069 0.069 0.427
Pr: 0.931 0.931 0.573
Y: 0.293 0.293 0.708
Y: 0.353 0.353 0.154
Y: 0.647 0.647 0.846
Y: 0.707 0.707 0.292

---

(3)
Computed, not measured: a relaxed PmPr7Y4 crystal at the PBE level of DFT.

## Properties
energy relative to the elements	133	meV per atom
space-group type	P-1
ΔE to the lowest computed polymorph	0.0	meV/atom
DFT total energy	-5.206	eV per atom

abc: 6.122 7.308 10.151
angles: 111.04 90.54 90.06
Sites, in units of the cell vectors:
Pm: 0.000 0.000 0.000
Pr: 0.249 0.465 0.931
Pr: 0.250 0.811 0.624
Pr: 0.253 0.291 0.583
Pr: 0.500 0.000 0.000
Pr: 0.747 0.709 0.417
Pr: 0.750 0.189 0.376
Pr: 0.751 0.535 0.069
Y: 0.246 0.867 0.275
Y: 0.247 0.408 0.275
Y: 0.753 0.592 0.725
Y: 0.754 0.133 0.725